# Ag3Cl | Alexandria | PBEsol | relaxed
# - Total magnetization: 0.00 μB/cell
# - DFT total energy: -11.78 eV per cell
# - Offset from the most stable computed form: 110 meV per atom
# - Energy relative to the elements, uncorrected: 39 meV per atom
data_Ag3Cl
_symmetry_space_group_name_H-M 'P 1'
_symmetry_Int_Tables_number 1
_cell_length_a 3.236
_cell_length_b 4.209
_cell_length_c 5.398
_cell_angle_alpha 90.00
_cell_angle_beta 90.00
_cell_angle_gamma 90.00
loop_
_symmetry_equiv_pos_as_xyz
'x,y,z'
loop_
_atom_site_label
_atom_site_type_symbol
_atom_site_fract_x
_atom_site_fract_y
_atom_site_fract_z
Ag1 Ag 0.000 0.000 0.000
Ag2 Ag 0.000 0.500 0.318
Ag3 Ag 0.500 0.000 0.447
Cl1 Cl 0.500 0.500 0.791